No. 1
## Li10GeP2S12 (PBE-GGA)

Data for a geometry-optimized Li10GeP2S12 structure.

Properties
For the offset from the most stable computed form, the calculation gives 0.000 eV/atom. The magnetic moment comes out at 0.000 μB per atom. Its calculated density is 2.0 g cm⁻³. The value obtained for the total DFT energy (no corrections) is -4.324 eV per atom. For the uncorrected formation energy, the calculation gives -0.960 eV per atom.

Cell: 8.703 8.818 13.067 Å, 91.38 90.31 90.23°
Fractional coordinates of all 50 atoms:
Li 0.000 0.000 0.000
Li 0.000 0.467 0.052
Li 0.015 0.984 0.392
Li 0.030 0.468 0.335
Li 0.223 0.753 0.131
Li 0.232 0.768 0.655
Li 0.450 0.504 0.622
Li 0.465 0.067 0.451
Li 0.483 0.000 0.953
Li 0.483 0.473 0.065
Li 0.491 0.006 0.704
Li 0.492 0.467 0.361
Li 0.495 0.975 0.193
Li 0.501 0.535 0.858
Li 0.721 0.767 0.459
Li 0.738 0.251 0.750
Li 0.763 0.217 0.250
Li 0.979 0.506 0.562
Li 0.988 0.516 0.838
Li 0.991 0.010 0.717
Ge 0.244 0.738 0.885
Ge 0.756 0.240 0.516
P 0.244 0.219 0.202
P 0.255 0.735 0.389
P 0.736 0.761 0.697
P 0.738 0.255 0.012
S 0.031 0.718 0.977
S 0.052 0.202 0.290
S 0.066 0.743 0.294
S 0.239 0.425 0.135
S 0.240 0.916 0.491
S 0.248 0.532 0.466
S 0.249 0.959 0.803
S 0.250 0.544 0.769
S 0.259 0.041 0.097
S 0.443 0.208 0.290
S 0.447 0.725 0.991
S 0.457 0.737 0.306
S 0.533 0.238 0.603
S 0.544 0.771 0.604
S 0.545 0.276 0.921
S 0.733 0.047 0.080
S 0.734 0.558 0.770
S 0.735 0.943 0.798
S 0.743 0.043 0.404
S 0.744 0.428 0.121
S 0.768 0.452 0.422
S 0.928 0.778 0.606
S 0.934 0.261 0.924
S 0.956 0.246 0.623

No. 2
## LiGePS2 (PBE-GGA)

Data for a geometry-optimized LiGePS2 structure.

Properties
For the offset from the most stable computed form, the calculation gives 0.000 eV/atom. The magnetic moment comes out at 0.218 μB per atom. Its calculated density is 2.6 g cm⁻³. The value obtained for the total DFT energy (no corrections) is -3.741 eV per atom. For the uncorrected formation energy, the calculation gives 0.298 eV per atom.

Cell: 4.874 4.874 4.662 Å, 90.00 90.00 90.00°
Fractional coordinates of all 5 atoms:
Li 0.000 0.000 0.000
Ge 0.500 0.500 0.500
P 0.500 0.500 0.000
S 0.000 0.500 0.500
S 0.500 0.000 0.500

No. 3
## Li2ScGeP (PBE-GGA)

Data for a geometry-optimized Li2ScGeP structure.

Properties
The formation energy comes out at -0.053 eV per atom. The magnetic moment comes out at 0.000 μB per atom. Its calculated density is 2.8 g cm⁻³. The value obtained for the total DFT energy (no corrections) is -4.090 eV per atom.

Cell: 4.323 4.323 5.215 Å, 90.00 90.00 90.00°
Fractional coordinates of all 5 atoms:
Li 0.000 0.500 0.000
Li 0.500 0.000 0.000
Sc 0.000 0.000 0.500
Ge 0.500 0.500 0.500
P 0.500 0.500 0.000

No. 4
## SrLiGe2P (PBE-GGA)

Data for a geometry-optimized SrLiGe2P structure.

Properties
The formation energy comes out at -0.103 eV per atom. The magnetic moment comes out at 0.000 μB per atom. Its calculated density is 3.8 g cm⁻³. The value obtained for the total DFT energy (no corrections) is -3.751 eV per atom.

Cell: 5.047 5.047 4.607 Å, 90.00 90.00 90.00°
Fractional coordinates of all 5 atoms:
Sr 0.000 0.000 0.000
Li 0.500 0.500 0.000
Ge 0.000 0.500 0.500
Ge 0.500 0.000 0.500
P 0.500 0.500 0.500

No. 5
## LiTcGeP2 (PBE-GGA)

Data for a geometry-optimized LiTcGeP2 structure.

Properties
The formation energy comes out at 1.026 eV per atom. The magnetic moment comes out at 0.453 μB per atom. Its calculated density is 3.7 g cm⁻³. The value obtained for the total DFT energy (no corrections) is -4.518 eV per atom.

Cell: 4.802 4.802 4.722 Å, 90.00 90.00 90.00°
Fractional coordinates of all 5 atoms:
Li 0.000 0.000 0.000
Tc 0.500 0.500 0.000
Ge 0.500 0.500 0.500
P 0.000 0.500 0.500
P 0.500 0.000 0.500

No. 6
## LiTi2GeP (PBE-GGA)

Data for a geometry-optimized LiTi2GeP structure.

Properties
The formation energy comes out at 0.129 eV per atom. The magnetic moment comes out at 0.000 μB per atom. Its calculated density is 3.4 g cm⁻³. The value obtained for the total DFT energy (no corrections) is -5.417 eV per atom.

Cell: 4.585 4.585 4.818 Å, 90.00 90.00 90.00°
Fractional coordinates of all 5 atoms:
Li 0.000 0.000 0.000
Ti 0.000 0.500 0.500
Ti 0.500 0.000 0.500
Ge 0.500 0.500 0.000
P 0.500 0.500 0.500

No. 7
## LiPaGe2 (PBE-GGA)

Data for a geometry-optimized LiPaGe2 structure.

Properties
The formation energy comes out at -0.280 eV per atom. For the offset from the most stable computed form, the calculation gives 0.132 eV/atom. The magnetic moment comes out at 0.000 μB per atom. Its calculated density is 8.6 g cm⁻³. The value obtained for the total DFT energy (no corrections) is -5.441 eV per atom.

Cell: 3.341 3.341 6.658 Å, 90.00 90.00 90.00°
Fractional coordinates of all 4 atoms:
Li 0.000 0.000 0.000
Pa 0.000 0.000 0.500
Ge 0.500 0.500 0.205
Ge 0.500 0.500 0.795

No. 8
## LiPaGe2 (PBE-GGA)

Data for a geometry-optimized LiPaGe2 structure.

Properties
The formation energy comes out at -0.288 eV per atom. For the offset from the most stable computed form, the calculation gives 0.124 eV/atom. The magnetic moment comes out at 0.000 μB per atom. Its calculated density is 8.1 g cm⁻³. The value obtained for the total DFT energy (no corrections) is -5.449 eV per atom.

Cell: 5.428 5.428 5.428 Å, 47.24 47.24 47.24°
Fractional coordinates of all 4 atoms:
Li 0.000 0.000 0.000
Pa 0.500 0.500 0.500
Ge 0.271 0.271 0.271
Ge 0.729 0.729 0.729